Cs2Ca2F5 | GGA-PBE | optimized geometry

Summary:
D(E_F): 3.93 states/eV/cell
total magnetic moment: 0.00 μB per cell
uncorrected formation energy: -3.070 eV/atom
crystal system: monoclinic

Cell lengths 14.298, 4.226, 8.183 Å; angles 90.00, 102.26, 90.00 degrees
Space group C2/m (No. 12)
One atom of each set of equivalent atoms:
Cs  0.091  0.000  0.367 x4
Ca  0.143  0.500  0.922 x4
F  0.000  0.500  0.000 x2
F  0.070  0.500  0.665 x4
F  0.185  0.000  0.014 x4


CsCaF3 | GGA-PBE | optimized geometry

Summary:
D(E_F): 0.00 states/eV/cell
total magnetic moment: 0.00 μB per cell
uncorrected formation energy: -3.290 eV/atom
crystal system: orthorhombic

Cell lengths 7.156, 7.669, 7.602 Å; angles 90.00, 90.00, 90.00 degrees
Space group Pnma (No. 62)
One atom of each set of equivalent atoms:
Cs  0.000  0.000  0.000 x4
Ca  0.013  0.250  0.439 x4
F  0.100  0.554  0.367 x8
F  0.213  0.750  0.762 x4


Cs2CaF4 | GGA-PBE | optimized geometry

Summary:
D(E_F): 0.00 states/eV/cell
total magnetic moment: 0.37 μB per cell
uncorrected formation energy: -3.247 eV/atom
crystal system: tetragonal

Cell lengths 4.551, 4.551, 15.067 Å; angles 90.00, 90.00, 90.00 degrees
Space group I4/mmm (No. 139)
One atom of each set of equivalent atoms:
Cs  0.000  0.000  0.149 x4
Ca  0.000  0.000  0.500 x2
F  0.000  0.000  0.348 x4
F  0.000  0.500  0.000 x4


CsCaF3 | GGA-PBE | optimized geometry

Summary:
D(E_F): 0.00 states/eV/cell
total magnetic moment: 0.00 μB per cell
uncorrected formation energy: -3.406 eV/atom
crystal system: cubic

Cell lengths 11.987, 11.987, 11.987 Å; angles 90.00, 90.00, 90.00 degrees
Space group Fd-3m (No. 227, origin choice 2)
One atom of each set of equivalent atoms:
Cs  0.000  0.000  0.000 x16
Ca  0.000  0.000  0.500 x16
F  0.073  0.375  0.875 x48


CsCaF3 | GGA-PBE | optimized geometry

Summary:
D(E_F): 0.00 states/eV/cell
total magnetic moment: 0.00 μB per cell
uncorrected formation energy: -3.412 eV/atom
crystal system: monoclinic

Cell lengths 12.372, 4.431, 8.091 Å; angles 90.00, 98.88, 90.00 degrees
Space group C2/m (No. 12)
One atom of each set of equivalent atoms:
Cs  0.122  0.000  0.383 x4
Ca  0.132  0.500  0.921 x4
F  0.054  0.500  0.161 x4
F  0.149  0.500  0.651 x4
F  0.177  0.000  0.967 x4


CsCaF3 | GGA-PBE | optimized geometry

Summary:
D(E_F): 0.00 states/eV/cell
total magnetic moment: 0.00 μB per cell
uncorrected formation energy: -3.279 eV/atom
crystal system: orthorhombic

Cell lengths 3.595, 7.830, 12.012 Å; angles 90.00, 90.00, 90.00 degrees
Space group Amm2 (No. 38)
One atom of each set of equivalent atoms:
Cs  0.000  0.000  0.000 x2
Ca  0.500  0.000  0.353 x2
F  0.000  0.174  0.391 x4
F  0.500  0.000  0.175 x2


CsCaF3 | GGA-PBE | optimized geometry

Summary:
D(E_F): 0.00 states/eV/cell
total magnetic moment: 0.00 μB per cell
uncorrected formation energy: -3.334 eV/atom
crystal system: monoclinic

Cell lengths 15.517, 3.660, 8.361 Å; angles 90.00, 101.73, 90.00 degrees
Space group C2/m (No. 12)
One atom of each set of equivalent atoms:
Cs  0.123  0.000  0.371 x4
Ca  0.155  0.500  0.861 x4
F  0.066  0.000  0.775 x4
F  0.190  0.500  0.622 x4
F  0.192  0.000  0.049 x4


CsCaF3 | GGA-PBE | optimized geometry

Summary:
D(E_F): 0.00 states/eV/cell
total magnetic moment: 0.00 μB per cell
uncorrected formation energy: -2.016 eV/atom
crystal system: cubic

Cell lengths 5.217, 5.217, 5.217 Å; angles 90.00, 90.00, 90.00 degrees
Space group Pm-3m (No. 221)
One atom of each set of equivalent atoms:
Cs  0.000  0.000  0.000 x1
Ca  0.500  0.500  0.500 x1
F  0.000  0.000  0.500 x3


CsCa2F2 | GGA-PBE | optimized geometry

Summary:
D(E_F): 5.24 states/eV/cell
total magnetic moment: 0.00 μB per cell
uncorrected formation energy: -2.190 eV/atom
crystal system: tetragonal

Cell lengths 4.032, 4.032, 20.724 Å; angles 90.00, 90.00, 90.00 degrees
Space group I4/mmm (No. 139)
One atom of each set of equivalent atoms:
Cs  0.000  0.000  0.000 x2
Ca  0.000  0.000  0.311 x4
F  0.000  0.500  0.250 x4


CsCaF3 | GGA-PBE | optimized geometry

Summary:
D(E_F): 0.00 states/eV/cell
total magnetic moment: 0.00 μB per cell
uncorrected formation energy: -3.365 eV/atom
crystal system: orthorhombic

Cell lengths 6.666, 4.606, 6.953 Å; angles 90.00, 90.00, 90.00 degrees
Space group Pmma (No. 51)
One atom of each set of equivalent atoms:
Cs  0.250  0.000  0.239 x2
Ca  0.250  0.500  0.782 x2
F  0.000  0.500  0.000 x2
F  0.250  0.000  0.787 x2
F  0.250  0.500  0.473 x2


CsCa3F | GGA-PBE | optimized geometry

Summary:
D(E_F): 3.63 states/eV/cell
total magnetic moment: 0.00 μB per cell
uncorrected formation energy: -0.674 eV/atom
ΔE to the lowest computed polymorph: 0 meV per atom
crystal system: cubic

Cell lengths 5.773, 5.773, 5.773 Å; angles 90.00, 90.00, 90.00 degrees
Space group Pm-3m (No. 221)
One atom of each set of equivalent atoms:
Cs  0.000  0.000  0.000 x1
Ca  0.000  0.500  0.500 x3
F  0.500  0.500  0.500 x1


CsCaF3 | GGA-PBE | optimized geometry

Summary:
D(E_F): 0.00 states/eV/cell
total magnetic moment: 0.00 μB per cell
uncorrected formation energy: -3.405 eV/atom
crystal system: orthorhombic

Cell lengths 3.803, 5.997, 8.366 Å; angles 90.00, 90.00, 90.00 degrees
Space group Pmmn (No. 59, origin choice 2)
One atom of each set of equivalent atoms:
Cs  0.250  0.250  0.132 x2
Ca  0.250  0.750  0.405 x2
F  0.250  0.008  0.619 x4
F  0.250  0.750  0.135 x2